1.
## CrNiS (GGA-PBE)

Data for a relaxed structure of CrNiS.

Results
- uncorrected formation energy (eV/atom) = 0.022
- D(E_F) (states/eV per atom) = 1.204
- excess energy over the best structure of this formula in the dataset (eV/atom) = 0.128

Lattice parameters (Å, degrees): 2.838 2.838 8.761 90.00 90.00 90.00
Space group I4mm (No. 107)
Asymmetric unit:
1 Cr 0.000 0.000 0.000 [2 per cell]
2 Ni 0.000 0.000 0.692 [2 per cell]
3 S 0.000 0.000 0.366 [2 per cell]

---

2.
## TlReTc (GGA-PBE)

Data for a relaxed structure of TlReTc.

Results
- energy of formation from the pure elements (meV per atom) = 471.1
- D(E_F) (states/eV per atom) = 0.830
- excess energy over the best structure of this formula in the dataset (eV/atom) = 0.000

Lattice parameters (Å, degrees): 2.984 2.984 12.016 90.00 90.00 90.00
Space group I4mm (No. 107)
Asymmetric unit:
1 Tl 0.000 0.000 0.000 [2 per cell]
2 Re 0.000 0.000 0.690 [2 per cell]
3 Tc 0.000 0.000 0.312 [2 per cell]

---

3.
## La2InBiPt (GGA-PBE)

Data for a relaxed structure of La2InBiPt.

Results
- energy of formation from the pure elements (meV per atom) = 481.2
- D(E_F) (states/eV per atom) = 1.441
- excess energy over the best structure of this formula in the dataset (eV/atom) = 1.224

Lattice parameters (Å, degrees): 5.992 5.992 5.342 90.00 90.00 90.00
Space group P4/mmm (No. 123)
Asymmetric unit:
1 La 0.000 0.500 0.000 [2 per cell]
2 In 0.000 0.000 0.000 [1 per cell]
3 Bi 0.000 0.000 0.500 [1 per cell]
4 Pt 0.500 0.500 0.500 [1 per cell]

---

4.
## LiLuThHg (GGA-PBE)

Data for a relaxed structure of LiLuThHg.

Results
- energy of formation from the pure elements (meV per atom) = -48.2
- D(E_F) (states/eV per atom) = 1.239

Lattice parameters (Å, degrees): 7.431 7.431 7.431 90.00 90.00 90.00
Space group F-43m (No. 216)
Asymmetric unit:
1 Li 0.000 0.000 0.000 [4 per cell]
2 Lu 0.250 0.250 0.750 [4 per cell]
3 Th 0.250 0.250 0.250 [4 per cell]
4 Hg 0.000 0.000 0.500 [4 per cell]

---

- The lowest D(E_F) belongs to which entry?
  TlReTc

---

Repeat the second record exactly.
## TlReTc (GGA-PBE)

Data for a relaxed structure of TlReTc.

Results
- energy of formation from the pure elements (meV per atom) = 471.1
- D(E_F) (states/eV per atom) = 0.830
- excess energy over the best structure of this formula in the dataset (eV/atom) = 0.000

Lattice parameters (Å, degrees): 2.984 2.984 12.016 90.00 90.00 90.00
Space group I4mm (No. 107)
Asymmetric unit:
1 Tl 0.000 0.000 0.000 [2 per cell]
2 Re 0.000 0.000 0.690 [2 per cell]
3 Tc 0.000 0.000 0.312 [2 per cell]

---

- Which of these has the lowest D(E_F)?
  TlReTc

---

- Which formula does entry 2 have?
  TlReTc